Entry 1:
Here is K2SrCd2O4 after structural relaxation from the Alexandria database. Energies are from PBE.

Properties
The calculation puts the size of the total moment at 0.0 μB/cell. Its energy relative to the elements, uncorrected is -13.49 eV/f.u. The final energy is -0.3188 Ry/atom. Its space group is C2/m, No. 12. Its volume is 176 Å³ per cell.

```
data_K2SrCd2O4
_cell_length_a 3.7869
_cell_length_b 9.1568
_cell_length_c 7.5487
_cell_angle_alpha 134.14
_cell_angle_beta 104.53
_cell_angle_gamma 90.00
_symmetry_space_group_name_H-M 'P 1'
_symmetry_Int_Tables_number 1
loop_
_symmetry_equiv_pos_as_xyz
'x,y,z'
loop_
_atom_site_label
_atom_site_type_symbol
_atom_site_fract_x
_atom_site_fract_y
_atom_site_fract_z
K1 K 0.1825 0.5724 0.3651
Cd1 Cd 0.3721 0.1185 0.7441
Sr1 Sr 0.0000 0.0000 0.0000
O1 O 0.2210 0.1136 0.4419
O2 O 0.5659 0.2528 0.1317
Cd2 Cd 0.6279 0.8815 0.2559
K2 K 0.8175 0.4276 0.6349
O3 O 0.7790 0.8864 0.5581
O4 O 0.4341 0.7472 0.8683
```

Entry 2:
Here is PaNb2B after structural relaxation from the Alexandria database. Energies are from PBE.

Properties
The calculation puts the size of the total moment at 0.5 μB/cell. The final energy is -0.6623 Ry/atom. Its space group is R-3m, No. 166. The value obtained for the energy of formation is 68 meV/atom. Its volume is 72 Å³ per cell.

```
data_PaNb2B
_cell_length_a 3.1579
_cell_length_b 3.1579
_cell_length_c 8.5869
_cell_angle_alpha 79.40
_cell_angle_beta 79.40
_cell_angle_gamma 60.00
_symmetry_space_group_name_H-M 'P 1'
_symmetry_Int_Tables_number 1
loop_
_symmetry_equiv_pos_as_xyz
'x,y,z'
loop_
_atom_site_label
_atom_site_type_symbol
_atom_site_fract_x
_atom_site_fract_y
_atom_site_fract_z
Nb1 Nb 0.8846 0.8846 0.3462
Nb2 Nb 0.1154 0.1154 0.6538
B1 B 0.5000 0.5000 0.5000
Pa1 Pa 0.0000 0.0000 0.0000
```

Entry 3:
Here is K2BaMg after structural relaxation from the Alexandria database. Energies are from PBE.

Properties
Its energy above the most stable polymorph in this dataset is 89.8 meV per atom. The calculation puts the size of the total moment at 0.0 μB/cell. The final energy is -0.0936 Ry/atom. Its space group is Cm, No. 8. The value obtained for the energy of formation is 154 meV/atom. Its volume is 228 Å³ per cell.

```
data_K2BaMg
_cell_length_a 7.2455
_cell_length_b 7.2455
_cell_length_c 8.1347
_cell_angle_alpha 64.80
_cell_angle_beta 64.80
_cell_angle_gamma 36.63
_symmetry_space_group_name_H-M 'P 1'
_symmetry_Int_Tables_number 1
loop_
_symmetry_equiv_pos_as_xyz
'x,y,z'
loop_
_atom_site_label
_atom_site_type_symbol
_atom_site_fract_x
_atom_site_fract_y
_atom_site_fract_z
Mg1 Mg 0.5175 0.5175 0.6236
K1 K 0.9868 0.9868 0.0078
K2 K 0.1942 0.1942 0.2316
Ba1 Ba 0.8015 0.8015 0.6370
```